# Y5RuAu4 PBE optimized geometry
# Crystal system = tetragonal
data_Y5RuAu4
_chemical_formula_sum 'Y5 Ru1 Au4'
_cell_length_a 3.5469
_cell_length_b 3.5469
_cell_length_c 18.0377
_cell_angle_alpha 90.00
_cell_angle_beta 90.00
_cell_angle_gamma 90.00
_space_group_name_H-M_alt 'P 4/m m m'
_space_group_IT_number 123
_space_group_name_Hall '-P 4 2'
loop_
_atom_site_label
_atom_site_fract_x
_atom_site_fract_y
_atom_site_fract_z
_atom_site_occupancy
Y1 0.0000 0.0000 0.0000 1
Y2 0.0000 0.0000 0.2044 1
Y3 0.0000 0.0000 0.4080 1
Ru1 0.5000 0.5000 0.5000 1
Au1 0.5000 0.5000 0.1010 1
Au2 0.5000 0.5000 0.3052 1

---

# YRuAu PBE optimized geometry
# Crystal system = hexagonal
# E above lowest polymorph = 0.0 meV/atom
data_YRuAu
_chemical_formula_sum 'Y1 Ru1 Au1'
_cell_length_a 4.4726
_cell_length_b 4.4726
_cell_length_c 3.6256
_cell_angle_alpha 90.00
_cell_angle_beta 90.00
_cell_angle_gamma 120.00
_space_group_name_H-M_alt 'P -6 m 2'
_space_group_IT_number 187
_space_group_name_Hall 'P -6 2'
loop_
_atom_site_label
_atom_site_fract_x
_atom_site_fract_y
_atom_site_fract_z
_atom_site_occupancy
Y1 0.0000 0.0000 0.0000 1
Ru1 0.3333 0.6667 0.5000 1
Au1 0.6667 0.3333 0.5000 1

---

# YRuAu PBE optimized geometry
# Crystal system = cubic
# E above lowest polymorph = 328.3 meV/atom
data_YRuAu
_chemical_formula_sum 'Y4 Ru4 Au4'
_cell_length_a 6.4714
_cell_length_b 6.4714
_cell_length_c 6.4714
_cell_angle_alpha 90.00
_cell_angle_beta 90.00
_cell_angle_gamma 90.00
_space_group_name_H-M_alt 'F -4 3 m'
_space_group_IT_number 216
_space_group_name_Hall 'F -4 2 3'
loop_
_atom_site_label
_atom_site_fract_x
_atom_site_fract_y
_atom_site_fract_z
_atom_site_occupancy
Y1 0.0000 0.0000 0.0000 1
Ru1 0.2500 0.2500 0.2500 1
Au1 0.0000 0.0000 0.5000 1

---

# Y6Ru2Au PBE optimized geometry
# Crystal system = orthorhombic
data_Y6Ru2Au
_chemical_formula_sum 'Y24 Ru8 Au4'
_cell_length_a 9.4006
_cell_length_b 9.4591
_cell_length_c 10.2712
_cell_angle_alpha 90.00
_cell_angle_beta 90.00
_cell_angle_gamma 90.00
_space_group_name_H-M_alt 'I m m m'
_space_group_IT_number 71
_space_group_name_Hall '-I 2 2'
loop_
_atom_site_label
_atom_site_fract_x
_atom_site_fract_y
_atom_site_fract_z
_atom_site_occupancy
Y1 0.0000 0.1942 0.2445 1
Y2 0.1861 0.5000 0.1708 1
Y3 0.2229 0.3193 0.5000 1
Ru1 0.0000 0.3264 0.0000 1
Ru2 0.0000 0.5000 0.3766 1
Au1 0.0000 0.0000 0.0000 1
Au2 0.0000 0.0000 0.5000 1

---

The records above yield electronic total energy values of -6.236; -6.589; -6.261; -7.151 eV per atom, respectively.
The records above yield calculated formation energy values of -0.765; -0.250; 0.079; -0.417 eV per atom, respectively.